Material: AlInOs2
Method: DFT, PBE
State: relaxed

As for the electronic total energy: -6.843 eV per atom. Its formation energy is 0.392 eV/atom. As for the symmetry: C2/m (12).

```
AlInOs2
1.0
2.868 -4.372 0.000
2.868 4.372 0.000
-1.326 0.000 2.558
Al In Os
1 1 2
Cartesian
0.000 0.000 0.000
2.868 0.000 0.000
0.771 2.186 1.279
0.771 -2.186 1.279
```